1.
This record from Alexandria describes a relaxed structure of Sc10Ga3Sb3. The functional is GGA-PBE.

Computed properties:
Formation energy from raw total energies   -718 meV per atom
Calculated volume   352.7 Å³/cell
Space group   No. 189

a = 8.238 Å, b = 8.238 Å, c = 6.001 Å
α = 90.00°, β = 90.00°, γ = 120.00°
Positions (direct):
Sc  0.000  0.235  0.000
Sc  0.000  0.762  0.500
Sc  0.235  0.000  0.000
Sc  0.238  0.238  0.500
Sc  0.333  0.667  0.261
Sc  0.333  0.667  0.739
Sc  0.667  0.333  0.261
Sc  0.667  0.333  0.739
Sc  0.762  0.000  0.500
Sc  0.765  0.765  0.000
Ga  0.000  0.392  0.500
Ga  0.392  0.000  0.500
Ga  0.608  0.608  0.500
Sb  0.000  0.602  0.000
Sb  0.398  0.398  0.000
Sb  0.602  0.000  0.000

2.
This record from Alexandria describes a relaxed structure of AcLaPr5Nd2. The functional is GGA-PBE.

Computed properties:
Calculated volume   671.0 Å³/cell
Space group   No. 140
Energy of formation   214 meV/atom

a = 10.349 Å, b = 10.349 Å, c = 10.349 Å
α = 127.85°, β = 127.85°, γ = 76.87°
Positions (direct):
Ac  0.250  0.250  0.000
Ac  0.750  0.750  0.000
La  0.250  0.750  0.500
La  0.750  0.250  0.500
Pr  0.000  0.000  0.000
Pr  0.067  0.567  0.899
Pr  0.167  0.067  0.500
Pr  0.333  0.833  0.899
Pr  0.433  0.333  0.500
Pr  0.500  0.500  0.000
Pr  0.567  0.667  0.500
Pr  0.667  0.167  0.101
Pr  0.833  0.933  0.500
Pr  0.933  0.433  0.101
Nd  0.119  0.381  0.500
Nd  0.381  0.881  0.262
Nd  0.619  0.119  0.738
Nd  0.881  0.619  0.500

Size of the total moment values, unit μB/cell, following the record order: 0.0; 0.0.